No. 1
DFT (PBE) results for a relaxed KZnRe2 crystal.

Cell lengths 5.975, 5.975, 5.975 Å; angles 150.04, 124.41, 64.44 degrees
Sites, in units of the cell vectors:
Re  0.944  0.944  0.000
Re  0.769  0.269  0.500
Zn  0.542  0.542  0.000
K  0.246  0.746  0.500

ρ = 9.1 Mg/m³
Total moment = 0.00 μB/f.u.
Calculated formation energy = 117.4 kJ per mole of atoms

***

No. 2
DFT (PBE) results for a relaxed KZnRe2 crystal.

Cell lengths 2.758, 2.758, 10.451 Å; angles 90.00, 90.00, 114.42 degrees
Sites, in units of the cell vectors:
Re  0.500  0.500  0.243
Re  0.000  0.000  0.038
K  0.500  0.500  0.755
Zn  0.000  0.000  0.464

ρ = 10.9 Mg/m³
Total moment = 0.00 μB/f.u.
Calculated formation energy = 67.4 kJ per mole of atoms

***

No. 3
DFT (PBE) results for a relaxed K4ZnRe crystal.

Cell lengths 7.198, 7.198, 7.198 Å; angles 60.00, 60.00, 60.00 degrees
Last column: magnetic moment on the atom in μB.
Sites, in units of the cell vectors:
K  0.375  0.375  0.375  -0.01
K  0.375  0.375  0.874  -0.01
K  0.375  0.874  0.375  -0.01
K  0.874  0.375  0.375  -0.01
Zn  0.000  0.000  0.000  -0.01
Re  0.750  0.750  0.750  3.34

ρ = 2.6 Mg/m³
Total moment = 3.62 μB/f.u.
Calculated formation energy = 128.4 kJ per mole of atoms

***

No. 4
DFT (PBE) results for a relaxed KZrZnRe2 crystal.

Cell lengths 5.011, 5.508, 5.011 Å; angles 90.00, 90.00, 90.00 degrees
Last column: magnetic moment on the atom in μB.
Sites, in units of the cell vectors:
K  0.500  0.500  0.500  0.00
Zn  0.000  0.500  0.000  -0.01
Re  0.000  0.000  0.500  1.49
Re  0.500  0.000  0.000  1.88
Zr  0.000  0.000  0.000  -0.23

ρ = 6.8 Mg/m³
Total moment = 3.58 μB/f.u.
Calculated formation energy = 169.9 kJ per mole of atoms

***

Among the records above, which one has the lowest ρ? K4ZnRe

***

What did the third record say?
DFT (PBE) results for a relaxed K4ZnRe crystal.

Cell lengths 7.198, 7.198, 7.198 Å; angles 60.00, 60.00, 60.00 degrees
Last column: magnetic moment on the atom in μB.
Sites, in units of the cell vectors:
K  0.375  0.375  0.375  -0.01
K  0.375  0.375  0.874  -0.01
K  0.375  0.874  0.375  -0.01
K  0.874  0.375  0.375  -0.01
Zn  0.000  0.000  0.000  -0.01
Re  0.750  0.750  0.750  3.34

ρ = 2.6 Mg/m³
Total moment = 3.62 μB/f.u.
Calculated formation energy = 128.4 kJ per mole of atoms